# 1
A plane-wave DFT calculation with GGA-PBE was carried out for crystalline Tl4AsPPt2 at its relaxed geometry.

Cell and atoms, written as POSCAR:
```
Tl4AsPPt2
1.0
5.595 0.000 0.000
0.000 11.877 0.000
0.000 0.000 6.167
Tl As P Pt
8 2 2 4
Direct
0.000 0.161 0.000
0.000 0.339 0.500
0.000 0.661 0.500
0.000 0.839 0.000
0.500 0.169 0.407
0.500 0.331 0.907
0.500 0.669 0.907
0.500 0.831 0.407
0.500 0.000 0.021
0.500 0.500 0.521
0.000 0.000 0.393
0.000 0.500 0.893
0.252 0.000 0.688
0.252 0.500 0.188
0.748 0.000 0.688
0.748 0.500 0.188
```

Properties
Spin magnetization: 0.001 μB/atom
Raw total energy: -64.87 eV per cell



# 2
A plane-wave DFT calculation with GGA-PBE was carried out for crystalline La2Th at its relaxed geometry.

Cell and atoms, written as POSCAR:
```
La2Th
1.0
0.000 6.840 6.840
6.840 0.000 6.840
6.840 6.840 0.000
La Th
4 2
Direct
0.000 0.000 0.000
0.000 0.000 0.500
0.000 0.500 0.000
0.500 0.000 0.000
0.125 0.125 0.125
0.875 0.875 0.875
```

Properties
Spin magnetization: 0.003 μB/atom
Energy relative to the elements: 1.8670 eV/atom
Raw total energy: -23.31 eV per cell



# 3
A plane-wave DFT calculation with GGA-PBE was carried out for crystalline PrZnAu at its relaxed geometry.

Cell and atoms, written as POSCAR:
```
PrZnAu
1.0
4.659 0.000 0.000
0.000 8.102 0.000
0.000 0.000 7.178
Pr Zn Au
4 4 4
Direct
0.250 0.216 0.000
0.250 0.284 0.500
0.750 0.716 0.500
0.750 0.784 0.000
0.250 0.574 0.801
0.250 0.926 0.301
0.750 0.074 0.301
0.750 0.426 0.801
0.250 0.603 0.216
0.250 0.897 0.716
0.750 0.103 0.716
0.750 0.397 0.216
```

Properties
Spin magnetization: 0.001 μB/atom
Energy relative to the elements: -0.6108 eV/atom
Raw total energy: -44.55 eV per cell



# 4
A plane-wave DFT calculation with GGA-PBE was carried out for crystalline BeBiSbW at its relaxed geometry.

Cell and atoms, written as POSCAR:
```
BeBiSbW
1.0
6.790 0.000 0.000
0.000 6.790 0.000
0.000 0.000 6.790
Be Bi Sb W
4 4 4 4
Direct
0.000 0.000 0.000
0.000 0.500 0.500
0.500 0.000 0.500
0.500 0.500 0.000
0.250 0.250 0.250
0.250 0.750 0.750
0.750 0.250 0.750
0.750 0.750 0.250
0.250 0.250 0.750
0.250 0.750 0.250
0.750 0.250 0.250
0.750 0.750 0.750
0.000 0.000 0.500
0.000 0.500 0.000
0.500 0.000 0.000
0.500 0.500 0.500
```

Properties
Energy above the lowest structure with this stoichiometry: 0.000 eV/atom
Spin magnetization: 0.005 μB/atom
Raw total energy: -83.35 eV per cell